(1)
Na2MnO2: single point on PBEsol structure, meta-GGA SCAN.

abc: 6.125 8.627 8.627
angles: 87.33 69.56 69.56
Site moments in Bohr magnetons follow the coordinates.
Fractional positions:
Na 0.750 0.940 0.060  0.00
Na 0.250 0.060 0.940  0.00
Na 0.250 0.799 0.201  0.00
Na 0.750 0.201 0.799  0.00
Na 0.234 0.399 0.002  0.00
Na 0.266 0.998 0.601  0.00
Na 0.766 0.601 0.998  0.00
Na 0.734 0.002 0.399  0.00
Na 0.732 0.326 0.465  0.01
Na 0.268 0.674 0.535  0.01
Na 0.232 0.465 0.326  0.01
Na 0.768 0.535 0.674  0.01
Mn 0.750 0.680 0.320  4.36
Mn 0.758 0.295 0.130  4.42
Mn 0.742 0.870 0.705  4.42
Mn 0.250 0.320 0.680  4.36
Mn 0.242 0.705 0.870  4.42
Mn 0.258 0.130 0.295  4.42
O 0.970 0.326 0.898  0.14
O 0.530 0.102 0.674  0.14
O 0.030 0.674 0.102  0.14
O 0.470 0.898 0.326  0.14
O 0.014 0.884 0.779  0.12
O 0.486 0.221 0.116  0.12
O 0.514 0.779 0.884  0.12
O 0.986 0.116 0.221  0.12
O 0.100 0.278 0.519  0.10
O 0.400 0.481 0.722  0.10
O 0.600 0.519 0.278  0.10
O 0.900 0.722 0.481  0.10

The value obtained for the total moment is 1.00 μB per atom. As for the uncorrected formation energy: -1.66 eV per atom. For the uncorrected energy, the calculation gives -9.49 eV per atom. The calculation puts the density of states at the Fermi level at 0.09 states/eV per atom.

(2)
CoMo2Cl: single point on PBEsol structure, meta-GGA SCAN.

abc: 2.892 4.403 4.417
angles: 90.00 90.00 90.00
Site moments in Bohr magnetons follow the coordinates.
Fractional positions:
Mo 0.000 0.000 0.000  -0.29
Mo 0.500 0.000 0.500  0.31
Co 0.000 0.500 0.500  1.78
Cl 0.500 0.500 0.000  0.11

The value obtained for the total moment is 0.47 μB per atom. As for the uncorrected formation energy: 0.89 eV per atom. For the uncorrected energy, the calculation gives -22.87 eV per atom. The calculation puts the density of states at the Fermi level at 0.76 states/eV per atom.

(3)
Ta2ZnP: single point on PBEsol structure, meta-GGA SCAN.

abc: 2.924 2.924 7.782
angles: 90.00 90.00 105.77
Fractional positions:
P 0.500 0.500 0.249
Ta 0.000 0.000 0.023
Ta 0.500 0.500 0.745
Zn 0.000 0.000 0.483

The value obtained for the total moment is 0.00 μB per atom. For the uncorrected energy, the calculation gives -39.28 eV per atom. The calculation puts the density of states at the Fermi level at 0.42 states/eV per atom.

(4)
MnSbPb2Cl: single point on PBEsol structure, meta-GGA SCAN.

abc: 4.869 5.976 5.976
angles: 90.00 90.00 90.00
Site moments in Bohr magnetons follow the coordinates.
Fractional positions:
Pb 0.000 0.000 0.500  -0.10
Pb 0.000 0.500 0.000  -0.10
Sb 0.000 0.000 0.000  -0.08
Mn 0.500 0.000 0.000  4.08
Cl 0.500 0.500 0.500  -0.04

The value obtained for the total moment is 0.73 μB per atom. As for the uncorrected formation energy: 0.30 eV per atom. For the uncorrected energy, the calculation gives -42.71 eV per atom. The calculation puts the density of states at the Fermi level at 0.73 states/eV per atom.

(5)
Tl2CuAg: single point on PBEsol structure, meta-GGA SCAN.

abc: 4.853 4.853 4.853
angles: 60.00 60.00 60.00
Fractional positions:
Ag 0.000 0.000 0.000
Cu 0.500 0.500 0.500
Tl 0.250 0.250 0.250
Tl 0.750 0.750 0.750

The value obtained for the total moment is 0.00 μB per atom. For the uncorrected energy, the calculation gives -47.50 eV per atom. The calculation puts the density of states at the Fermi level at 0.34 states/eV per atom.

(6)
SrTl2Os: single point on PBEsol structure, meta-GGA SCAN.

abc: 4.494 4.494 4.544
angles: 90.00 90.00 90.00
Site moments in Bohr magnetons follow the coordinates.
Fractional positions:
Os 0.500 0.500 0.500  1.19
Sr 0.000 0.000 0.500  -0.04
Tl 0.000 0.500 0.000  -0.02
Tl 0.500 0.000 0.000  -0.02

The value obtained for the total moment is 0.29 μB per atom. For the uncorrected energy, the calculation gives -59.10 eV per atom. The calculation puts the density of states at the Fermi level at 0.43 states/eV per atom.

(7)
BeCd2Hg: single point on PBEsol structure, meta-GGA SCAN.

abc: 2.958 5.165 5.621
angles: 115.34 90.00 106.64
Fractional positions:
Be 0.761 0.522 0.157
Hg 0.454 0.907 0.499
Cd 0.038 0.075 0.089
Cd 0.248 0.495 0.755

The value obtained for the total moment is 0.00 μB per atom. For the uncorrected energy, the calculation gives -33.12 eV per atom. The calculation puts the density of states at the Fermi level at 0.30 states/eV per atom.

(8)
RbH3O: single point on PBEsol structure, meta-GGA SCAN.

abc: 3.630 3.630 3.630
angles: 90.00 90.00 90.00
Fractional positions:
H 0.000 0.500 0.000
H 0.000 0.000 0.500
H 0.500 0.000 0.000
Rb 0.500 0.500 0.500
O 0.000 0.000 0.000

The value obtained for the total moment is 0.00 μB per atom. For the uncorrected energy, the calculation gives -6.86 eV per atom. The calculation puts the density of states at the Fermi level at 0.32 states/eV per atom.

(9)
Ca3MgAl: single point on PBEsol structure, meta-GGA SCAN.

abc: 5.809 5.809 5.809
angles: 90.00 90.00 90.00
Fractional positions:
Mg 0.000 0.000 0.000
Ca 0.000 0.500 0.000
Ca 0.000 0.000 0.500
Ca 0.500 0.000 0.000
Al 0.500 0.500 0.500

The value obtained for the total moment is 0.00 μB per atom. For the uncorrected energy, the calculation gives -7.76 eV per atom. The calculation puts the density of states at the Fermi level at 1.10 states/eV per atom.

(10)
HgIr2Cl: single point on PBEsol structure, meta-GGA SCAN.

abc: 2.900 4.525 4.932
angles: 90.00 90.48 90.00
Fractional positions:
Ir 0.730 0.000 0.736
Ir 0.270 0.000 0.264
Hg 0.000 0.500 0.000
Cl 0.500 0.500 0.500

The value obtained for the total moment is 0.00 μB per atom. As for the uncorrected formation energy: 0.87 eV per atom. For the uncorrected energy, the calculation gives -53.72 eV per atom. The calculation puts the density of states at the Fermi level at 0.68 states/eV per atom.

(11)
TaTcHg2: single point on PBEsol structure, meta-GGA SCAN.

abc: 3.291 4.773 5.440
angles: 116.02 107.61 90.00
Fractional positions:
Hg 0.991 0.991 0.981
Hg 0.755 0.255 0.511
Ta 0.526 0.526 0.053
Tc 0.228 0.728 0.455

The value obtained for the total moment is 0.00 μB per atom. For the uncorrected energy, the calculation gives -59.18 eV per atom. The calculation puts the density of states at the Fermi level at 0.34 states/eV per atom.

(12)
Ca4Sb2S: single point on PBEsol structure, meta-GGA SCAN.

abc: 7.923 7.923 7.923
angles: 107.50 110.46 110.46
Fractional positions:
Ca 0.120 0.994 0.733
Ca 0.738 0.126 0.006
Ca 0.262 0.267 0.387
Ca 0.380 0.624 0.863
Ca 0.238 0.756 0.376
Ca 0.762 0.137 0.517
Ca 0.880 0.613 0.874
Ca 0.620 0.483 0.244
Sb 0.876 0.875 0.251
Sb 0.624 0.749 0.625
Sb 0.124 0.375 0.999
Sb 0.376 0.001 0.125
S 0.000 0.500 0.500
S 0.500 0.250 0.750

The value obtained for the total moment is 0.00 μB per atom. As for the uncorrected formation energy: -1.42 eV per atom. For the uncorrected energy, the calculation gives -18.96 eV per atom. The calculation puts the density of states at the Fermi level at 0.00 states/eV per atom.

(13)
CaCdCl2: single point on PBEsol structure, meta-GGA SCAN.

abc: 3.859 5.994 5.994
angles: 62.27 71.22 71.22
Fractional positions:
Ca 0.000 0.500 0.500
Cl 0.309 0.691 0.691
Cl 0.691 0.309 0.309
Cd 0.500 0.000 0.000

The value obtained for the total moment is 0.00 μB per atom. As for the uncorrected formation energy: -1.58 eV per atom. For the uncorrected energy, the calculation gives -15.59 eV per atom.

(14)
Li2TiNiO4: single point on PBEsol structure, meta-GGA SCAN.

abc: 5.810 5.810 5.810
angles: 89.13 60.34 119.33
Site moments in Bohr magnetons follow the coordinates.
Fractional positions:
Li 0.500 0.000 0.500  0.01
Li 0.000 0.500 0.500  0.01
Li 0.500 0.500 0.500  0.00
Li 0.000 0.500 0.000  0.00
Ti 0.000 0.000 0.500  0.01
Ti 0.500 0.000 0.000  0.01
Ni 0.500 0.500 0.000  1.63
Ni 0.000 0.000 0.000  1.63
O 0.991 0.761 0.748  0.10
O 0.491 0.239 0.769  0.10
O 0.509 0.761 0.231  0.10
O 0.009 0.239 0.252  0.10
O 0.980 0.233 0.747  0.06
O 0.520 0.773 0.747  0.06
O 0.480 0.227 0.253  0.06
O 0.020 0.767 0.253  0.06

The value obtained for the total moment is 0.25 μB per atom. As for the uncorrected formation energy: -2.46 eV per atom. For the uncorrected energy, the calculation gives -10.20 eV per atom.

(15)
ScZn2Ir: single point on PBEsol structure, meta-GGA SCAN.

abc: 3.978 3.978 4.739
angles: 114.81 114.81 90.00
Fractional positions:
Ir 0.500 0.500 0.000
Sc 0.250 0.750 0.500
Zn 0.000 0.000 0.000
Zn 0.750 0.250 0.500

The value obtained for the total moment is 0.00 μB per atom. For the uncorrected energy, the calculation gives -28.62 eV per atom. The calculation puts the density of states at the Fermi level at 0.52 states/eV per atom.

(16)
Cr2NiAu: single point on PBEsol structure, meta-GGA SCAN.

abc: 2.586 2.586 7.980
angles: 90.00 90.00 108.61
Fractional positions:
Au 0.500 0.500 0.253
Cr 0.000 0.000 0.969
Cr 0.500 0.500 0.752
Ni 0.000 0.000 0.525

The value obtained for the total moment is 0.00 μB per atom. For the uncorrected energy, the calculation gives -30.28 eV per atom. The calculation puts the density of states at the Fermi level at 0.74 states/eV per atom.

(17)
Ag3SbH: single point on PBEsol structure, meta-GGA SCAN.

abc: 4.276 4.276 4.276
angles: 90.00 90.00 90.00
Fractional positions:
Sb 0.500 0.500 0.500
Ag 0.000 0.500 0.000
Ag 0.000 0.000 0.500
Ag 0.500 0.000 0.000
H 0.000 0.000 0.000

The value obtained for the total moment is 0.00 μB per atom. For the uncorrected energy, the calculation gives -26.75 eV per atom. The calculation puts the density of states at the Fermi level at 0.19 states/eV per atom.

(18)
TcSeN2O: single point on PBEsol structure, meta-GGA SCAN.

abc: 3.651 3.865 3.865
angles: 90.00 90.00 90.00
Site moments in Bohr magnetons follow the coordinates.
Fractional positions:
O 0.500 0.000 0.000  0.13
Tc 0.500 0.500 0.500  3.78
Se 0.000 0.000 0.000  0.01
N 0.000 0.000 0.500  -0.10
N 0.000 0.500 0.000  -0.10

The value obtained for the total moment is 0.77 μB per atom. As for the uncorrected formation energy: 1.34 eV per atom. For the uncorrected energy, the calculation gives -14.65 eV per atom. The calculation puts the density of states at the Fermi level at 0.28 states/eV per atom.

(19)
CaYFe: single point on PBEsol structure, meta-GGA SCAN.

abc: 3.600 3.600 6.872
angles: 90.00 90.00 120.00
Site moments in Bohr magnetons follow the coordinates.
Fractional positions:
Y 0.667 0.333 0.413  -0.50
Ca 0.000 0.000 0.933  -0.08
Fe 0.333 0.667 0.654  2.14

The value obtained for the total moment is 0.37 μB per atom. For the uncorrected energy, the calculation gives -18.09 eV per atom. The calculation puts the density of states at the Fermi level at 0.53 states/eV per atom.

(20)
CuMo2Pt: single point on PBEsol structure, meta-GGA SCAN.

abc: 3.714 3.714 4.104
angles: 90.00 90.00 90.00
Fractional positions:
Cu 0.000 0.000 0.500
Mo 0.000 0.500 0.000
Mo 0.500 0.000 0.000
Pt 0.500 0.500 0.500

The value obtained for the total moment is 0.00 μB per atom. For the uncorrected energy, the calculation gives -38.85 eV per atom. The calculation puts the density of states at the Fermi level at 0.71 states/eV per atom.